(1)
Ca6MgZn2: relaxed, PBE.

Its crystal system is orthorhombic.

The structure in POSCAR format:
```
Ca6MgZn2
1.0
-5.117 5.164 5.553
5.117 -5.164 5.553
5.117 5.164 -5.553
Ca Mg Zn
12 2 4
direct
0.039 0.243 0.796
0.187 0.282 0.468
0.187 0.718 0.905
0.323 0.026 0.703
0.323 0.621 0.297
0.447 0.243 0.204
0.553 0.757 0.796
0.677 0.379 0.703
0.677 0.974 0.297
0.813 0.282 0.095
0.813 0.718 0.532
0.961 0.757 0.204
0.000 0.000 0.000
0.500 0.500 0.000
0.117 0.617 0.500
0.358 0.000 0.358
0.642 0.000 0.642
0.883 0.383 0.500
```

=====

(2)
Ca2MgZn: relaxed, PBE.

Its crystal system is trigonal. For the distance to the lowest polymorph of the same formula, the calculation gives 168 meV per atom.

The structure in POSCAR format:
```
Ca2MgZn
1.0
1.893 1.093 9.920
-1.893 1.093 9.920
0.000 -2.186 9.920
Ca Mg Zn
2 1 1
direct
0.000 0.000 0.000
0.185 0.185 0.185
0.426 0.426 0.426
0.592 0.592 0.592
```

=====

(3)
CaMg11Zn: relaxed, PBE.

Its crystal system is monoclinic.

The structure in POSCAR format:
```
CaMg11Zn
1.0
2.934 -7.224 0.000
2.934 7.224 0.000
-2.789 0.000 7.230
Ca Mg Zn
1 11 1
direct
0.000 0.000 0.000
0.000 0.000 0.500
0.000 0.500 0.000
0.006 0.353 0.357
0.293 0.504 0.779
0.353 0.006 0.357
0.496 0.707 0.221
0.500 0.000 0.000
0.504 0.293 0.779
0.647 0.994 0.643
0.707 0.496 0.221
0.994 0.647 0.643
0.500 0.500 0.500
```

=====

(4)
Ca2MgZn: relaxed, PBE.

Its crystal system is cubic. For the distance to the lowest polymorph of the same formula, the calculation gives 34 meV per atom.

The structure in POSCAR format:
```
Ca2MgZn
1.0
0.000 3.819 3.819
3.819 0.000 3.819
3.819 3.819 0.000
Ca Mg Zn
2 1 1
direct
0.250 0.250 0.250
0.750 0.750 0.750
0.000 0.000 0.000
0.500 0.500 0.500
```

=====

(5)
Ca4MgZn: relaxed, PBE.

Its crystal system is tetragonal. For the distance to the lowest polymorph of the same formula, the calculation gives 0 meV per atom.

The structure in POSCAR format:
```
Ca4MgZn
1.0
3.759 0.000 0.000
0.000 3.759 0.000
0.000 0.000 13.811
Ca Mg Zn
4 1 1
direct
0.000 0.000 0.129
0.000 0.000 0.871
0.500 0.500 0.343
0.500 0.500 0.657
0.000 0.000 0.500
0.500 0.500 0.000
```

=====

(6)
Ca2MgZn: relaxed, PBE.

Its crystal system is trigonal. For the distance to the lowest polymorph of the same formula, the calculation gives 174 meV per atom.

The structure in POSCAR format:
```
Ca2MgZn
1.0
1.911 1.103 9.800
-1.911 1.103 9.800
0.000 -2.206 9.800
Ca Mg Zn
2 1 1
direct
0.000 0.000 0.000
0.221 0.221 0.221
0.758 0.758 0.758
0.482 0.482 0.482
```

=====

(7)
CaMg2Zn: relaxed, PBE.

Its crystal system is hexagonal.

The structure in POSCAR format:
```
CaMg2Zn
1.0
4.741 0.000 0.000
-2.371 4.106 0.000
0.000 0.000 10.470
Ca Mg Zn
2 4 2
direct
0.333 0.667 0.250
0.667 0.333 0.750
0.333 0.667 0.571
0.333 0.667 0.929
0.667 0.333 0.071
0.667 0.333 0.429
0.000 0.000 0.000
0.000 0.000 0.500
```

=====

(8)
Ca2MgZn: relaxed, PBE.

Its crystal system is cubic. For the distance to the lowest polymorph of the same formula, the calculation gives 145 meV per atom.

The structure in POSCAR format:
```
Ca2MgZn
1.0
0.000 3.732 3.732
3.732 0.000 3.732
3.732 3.732 0.000
Ca Mg Zn
2 1 1
direct
0.000 0.000 0.000
0.250 0.250 0.250
0.500 0.500 0.500
0.750 0.750 0.750
```

=====

(9)
Ca2Mg4Zn: relaxed, PBE.

Its crystal system is tetragonal. For the distance to the lowest polymorph of the same formula, the calculation gives 203 meV per atom.

The structure in POSCAR format:
```
Ca2Mg4Zn
1.0
-2.496 2.496 8.587
2.496 -2.496 8.587
2.496 2.496 -8.587
Ca Mg Zn
2 4 1
direct
0.155 0.155 0.000
0.845 0.845 0.000
0.000 0.500 0.500
0.348 0.348 0.000
0.500 0.000 0.500
0.652 0.652 0.000
0.500 0.500 0.000
```

=====

(10)
CaMg4Zn8: relaxed, PBE.

Its crystal system is monoclinic.

The structure in POSCAR format:
```
CaMg4Zn8
1.0
2.472 -6.952 0.000
2.472 6.952 0.000
-1.915 0.000 7.037
Ca Mg Zn
1 4 8
direct
0.000 0.000 0.000
0.295 0.524 0.770
0.476 0.705 0.230
0.524 0.295 0.770
0.705 0.476 0.230
0.043 0.669 0.632
0.214 0.786 0.000
0.219 0.219 0.427
0.331 0.957 0.368
0.669 0.043 0.632
0.781 0.781 0.573
0.786 0.214 0.000
0.957 0.331 0.368
```

=====

(11)
CaMg2Zn: relaxed, PBE.

Its crystal system is tetragonal.

The structure in POSCAR format:
```
CaMg2Zn
1.0
-2.499 2.499 7.676
2.499 -2.499 7.676
2.499 2.499 -7.676
Ca Mg Zn
2 4 2
direct
0.250 0.750 0.500
0.750 0.250 0.500
0.000 0.500 0.500
0.108 0.108 0.000
0.500 0.000 0.500
0.892 0.892 0.000
0.387 0.387 0.000
0.613 0.613 0.000
```

=====

(12)
Ca2Mg6Zn: relaxed, PBE.

Its crystal system is monoclinic.

The structure in POSCAR format:
```
Ca2Mg6Zn
1.0
5.298 -3.271 0.000
5.298 3.271 0.000
-0.884 0.000 6.707
Ca Mg Zn
2 6 1
direct
0.162 0.162 0.374
0.838 0.838 0.626
0.129 0.656 0.161
0.344 0.871 0.839
0.358 0.358 0.804
0.642 0.642 0.196
0.656 0.129 0.161
0.871 0.344 0.839
0.500 0.500 0.500
```

=====

Number 1: E -1.925 eV per atom, formation enthalpy at 0 K -130 meV per atom. Number 2: E -1.713 eV per atom, formation enthalpy at 0 K 5 meV per atom. Number 3: E -1.641 eV per atom, formation enthalpy at 0 K -40 meV per atom. Number 4: E -1.847 eV per atom, formation enthalpy at 0 K -129 meV per atom. Number 5: E -1.922 eV per atom, formation enthalpy at 0 K -110 meV per atom. Number 6: E -1.706 eV per atom, formation enthalpy at 0 K 11 meV per atom. Number 7: E -1.659 eV per atom, formation enthalpy at 0 K -43 meV per atom. Number 8: E -1.736 eV per atom, formation enthalpy at 0 K -18 meV per atom. Number 9: E -1.529 eV per atom, formation enthalpy at 0 K 136 meV per atom. Number 10: E -1.503 eV per atom, formation enthalpy at 0 K -74 meV per atom. Number 11: E -1.685 eV per atom, formation enthalpy at 0 K -68 meV per atom. Number 12: E -1.710 eV per atom, formation enthalpy at 0 K -61 meV per atom.